Computed, not measured: a geometry-optimized SiTeBr2 structure at the PBE level of DFT.

POSCAR file:
```
SiTeBr2
1.0
6.994 0.023 -0.026
5.995 3.603 -0.026
0.502 0.140 5.383
Br Te Si
2 1 1
Cartesian
10.471 2.923 3.561
0.125 0.035 0.286
2.479 0.692 1.841
7.162 1.999 2.310
```

Computed properties:
formation energy (no corrections)	0.097	eV/atom
uncorrected energy	-2.881	eV/atom
Fermi-level density of states	0.91	states/eV per cell
symmetry	Cm (8)
distance to the lowest polymorph of the same formula	22.6	kJ per mole of atoms

Computed, not measured: a geometry-optimized CeTlPt structure at the PBE level of DFT.

POSCAR file:
```
CeTlPt
1.0
-2.527 -2.060 -3.929
2.384 -3.012 3.363
-10.531 -0.488 7.028
Ce Tl Pt
4 4 4
Cartesian
-8.689 -3.132 7.231
-5.061 -2.571 1.286
-5.613 -2.989 5.177
-1.984 -2.428 -0.768
-7.898 -0.366 5.271
0.000 0.000 0.000
-2.633 -0.122 1.757
-5.265 -0.244 3.514
-0.654 -2.759 1.868
-10.019 -2.800 4.595
-3.117 -2.873 3.511
-7.557 -2.686 2.952
```

Computed properties:
uncorrected energy	-5.380	eV/atom
formation energy	-0.60	eV per atom
Fermi-level density of states	20.52	states/eV per cell
symmetry	P6_3/mmc (194)

Computed, not measured: a geometry-optimized ZnAsRu2 structure at the PBE level of DFT.

POSCAR file:
```
ZnAsRu2
1.0
-2.109 0.811 3.634
-1.267 3.989 0.894
-4.159 1.001 -0.118
Zn As Ru
1 1 2
Cartesian
0.000 0.000 0.000
-3.768 2.900 2.205
-5.651 4.350 3.308
-1.884 1.450 1.103
```

Computed properties:
uncorrected energy	-6.219	eV/atom
formation energy	-0.10	eV per atom
Fermi-level density of states	2.60	states/eV per cell
symmetry	Fm-3m (225)
distance to the lowest polymorph of the same formula	0.0	kJ per mole of atoms

Computed, not measured: a geometry-optimized PuScCd6 structure at the PBE level of DFT.

POSCAR file:
```
PuScCd6
1.0
-0.898 -0.986 4.691
5.697 -2.993 0.462
0.403 6.285 1.398
Cd Pu Sc
6 1 1
Cartesian
3.445 0.953 0.860
0.493 2.132 0.543
4.722 0.466 3.537
3.979 4.014 1.605
2.078 -0.961 2.731
4.889 -2.858 2.871
1.954 2.287 3.390
1.042 5.167 1.285
```

Computed properties:
uncorrected energy	-3.369	eV/atom
formation energy	-0.10	eV per atom
Fermi-level density of states	14.41	states/eV per cell
symmetry	Amm2 (38)

What is the uncorrected energy in the second record?
-5.380 eV/atom

Please write out number 3 again, unchanged.
Computed, not measured: a geometry-optimized ZnAsRu2 structure at the PBE level of DFT.

POSCAR file:
```
ZnAsRu2
1.0
-2.109 0.811 3.634
-1.267 3.989 0.894
-4.159 1.001 -0.118
Zn As Ru
1 1 2
Cartesian
0.000 0.000 0.000
-3.768 2.900 2.205
-5.651 4.350 3.308
-1.884 1.450 1.103
```

Computed properties:
uncorrected energy	-6.219	eV/atom
formation energy	-0.10	eV per atom
Fermi-level density of states	2.60	states/eV per cell
symmetry	Fm-3m (225)
distance to the lowest polymorph of the same formula	0.0	kJ per mole of atoms

uncorrected energy of number 1 (SiTeBr2)?
-2.881 eV/atom

Among the records above, which one has the lowest Fermi-level density of states?
SiTeBr2